1.
# DyScSe3 PBE-GGA relaxed
# electronic total energy = -0.4430 Ry/atom
# theoretical density = 5.40 g/cm³
# magnetization = 0.00 μB/f.u.
# polymorph energy (0 for the lowest one) = 11.6 meV/atom
data_DyScSe3
_chemical_formula_sum 'Dy2 Sc2 Se6'
_cell_length_a 6.756
_cell_length_b 4.008
_cell_length_c 10.271
_cell_angle_alpha 90.00
_cell_angle_beta 100.51
_cell_angle_gamma 90.00
_symmetry_space_group_name_H-M 'P 1 21/m 1'
_symmetry_Int_Tables_number 11
loop_
_symmetry_equiv_pos_as_xyz
'x,y,z'
'-x,-y,-z'
'-x,y+1/2,-z'
'x,-y+1/2,z'
loop_
_atom_site_label
_atom_site_fract_x
_atom_site_fract_y
_atom_site_fract_z
Dy1 0.144 0.250 0.149
Sc1 0.268 0.250 0.518
Se1 0.053 0.750 0.354
Se2 0.249 0.750 0.993
Se3 0.470 0.750 0.655

=====

2.
# Dy2ScSe PBE-GGA relaxed
# electronic total energy = -0.4052 Ry/atom
# N(E_F) = 5.10 states/eV/f.u.
# theoretical density = 6.77 g/cm³
# magnetization = 0.10 μB/f.u.
# polymorph energy (0 for the lowest one) = 0.0 meV/atom
data_Dy2ScSe
_chemical_formula_sum 'Dy6 Sc3 Se3'
_cell_length_a 3.7368
_cell_length_b 3.7368
_cell_length_c 27.3147
_cell_angle_alpha 90.00
_cell_angle_beta 90.00
_cell_angle_gamma 120.00
_symmetry_space_group_name_H-M 'R 3 m'
_symmetry_Int_Tables_number 160
_symmetry_space_group_name_Hall 'R 3 -2"'
loop_
_atom_site_label
_atom_site_fract_x
_atom_site_fract_y
_atom_site_fract_z
Dy1 0.0000 0.0000 0.0000
Dy2 0.0000 0.0000 0.1950
Sc1 0.0000 0.0000 0.7647
Se1 0.0000 0.0000 0.5974

=====

3.
# Dy4Sc3Se8 PBE-GGA relaxed
# electronic total energy = -0.4481 Ry/atom
# N(E_F) = 7.01 states/eV/f.u.
# theoretical density = 6.60 g/cm³
# magnetization = 0.00 μB/f.u.
data_Dy4Sc3Se8
_chemical_formula_sum 'Dy8 Sc6 Se16'
_cell_length_a 11.249
_cell_length_b 11.254
_cell_length_c 7.929
_cell_angle_alpha 90.00
_cell_angle_beta 134.80
_cell_angle_gamma 90.00
_symmetry_space_group_name_H-M 'C 1 2/m 1'
_symmetry_Int_Tables_number 12
loop_
_symmetry_equiv_pos_as_xyz
'x,y,z'
'-x,-y,-z'
'-x,y,-z'
'x,-y,z'
'x+1/2,y+1/2,z'
'-x+1/2,-y+1/2,-z'
'-x+1/2,y+1/2,-z'
'x+1/2,-y+1/2,z'
loop_
_atom_site_label
_atom_site_fract_x
_atom_site_fract_y
_atom_site_fract_z
Dy1 0.000 0.000 0.000
Dy2 0.000 0.500 0.500
Dy3 0.250 0.250 0.000
Sc1 0.000 0.000 0.500
Sc2 0.250 0.250 0.500
Se1 0.000 0.245 0.500
Se2 0.000 0.256 0.000
Se3 0.248 0.500 0.010
Se4 0.248 0.500 0.487

=====

4.
# Dy2ScSe3 PBE-GGA relaxed
# electronic total energy = -0.4421 Ry/atom
# N(E_F) = 3.11 states/eV/f.u.
# theoretical density = 7.35 g/cm³
# magnetization = 0.00 μB/f.u.
data_Dy2ScSe3
_chemical_formula_sum 'Dy4 Sc2 Se6'
_cell_length_a 4.020
_cell_length_b 5.677
_cell_length_c 12.019
_cell_angle_alpha 90.00
_cell_angle_beta 90.00
_cell_angle_gamma 90.00
_symmetry_space_group_name_H-M 'I m m m'
_symmetry_Int_Tables_number 71
_symmetry_space_group_name_Hall '-I 2 2'
loop_
_atom_site_label
_atom_site_fract_x
_atom_site_fract_y
_atom_site_fract_z
Dy1 0.000 0.000 0.171
Sc1 0.000 0.000 0.500
Se1 0.000 0.500 0.158
Se2 0.000 0.500 0.500

=====

5.
# DySc5Se6 PBE-GGA relaxed
# electronic total energy = -0.4688 Ry/atom
# N(E_F) = 6.54 states/eV/f.u.
# theoretical density = 5.64 g/cm³
# magnetization = 0.00 μB/f.u.
data_DySc5Se6
_chemical_formula_sum 'Dy2 Sc10 Se12'
_cell_length_a 6.752
_cell_length_b 11.740
_cell_length_c 6.779
_cell_angle_alpha 90.00
_cell_angle_beta 109.42
_cell_angle_gamma 90.00
_symmetry_space_group_name_H-M 'C 1 2/m 1'
_symmetry_Int_Tables_number 12
loop_
_symmetry_equiv_pos_as_xyz
'x,y,z'
'-x,-y,-z'
'-x,y,-z'
'x,-y,z'
'x+1/2,y+1/2,z'
'-x+1/2,-y+1/2,-z'
'-x+1/2,y+1/2,-z'
'x+1/2,-y+1/2,z'
loop_
_atom_site_label
_atom_site_fract_x
_atom_site_fract_y
_atom_site_fract_z
Dy1 0.000 0.000 0.000
Sc1 0.000 0.158 0.500
Sc2 0.000 0.335 0.000
Sc3 0.000 0.500 0.500
Se1 0.241 0.500 0.252
Se2 0.243 0.328 0.743

=====

6.
# Dy3Sc2Se6 PBE-GGA relaxed
# electronic total energy = -0.4412 Ry/atom
# N(E_F) = 4.65 states/eV/f.u.
# theoretical density = 6.35 g/cm³
# magnetization = 0.00 μB/f.u.
data_Dy3Sc2Se6
_chemical_formula_sum 'Dy9 Sc6 Se18'
_cell_length_a 3.9770
_cell_length_b 3.9770
_cell_length_c 60.1707
_cell_angle_alpha 90.00
_cell_angle_beta 90.00
_cell_angle_gamma 120.00
_symmetry_space_group_name_H-M 'R -3 m'
_symmetry_Int_Tables_number 166
_symmetry_space_group_name_Hall '-R 3 2"'
loop_
_atom_site_label
_atom_site_fract_x
_atom_site_fract_y
_atom_site_fract_z
Dy1 0.0000 0.0000 0.0000
Dy2 0.0000 0.0000 0.2769
Sc1 0.0000 0.0000 0.4483
Se1 0.0000 0.0000 0.0860
Se2 0.0000 0.0000 0.1968
Se3 0.0000 0.0000 0.3618

=====

7.
# DySc6Se8 PBE-GGA relaxed
# electronic total energy = -0.4693 Ry/atom
# N(E_F) = 7.36 states/eV/f.u.
# theoretical density = 5.37 g/cm³
# magnetization = 0.00 μB/f.u.
data_DySc6Se8
_chemical_formula_sum 'Dy4 Sc24 Se32'
_cell_length_a 10.956
_cell_length_b 10.956
_cell_length_c 10.956
_cell_angle_alpha 90.00
_cell_angle_beta 90.00
_cell_angle_gamma 90.00
_symmetry_space_group_name_H-M 'F m -3 m'
_symmetry_Int_Tables_number 225
_symmetry_space_group_name_Hall '-F 4 2 3'
loop_
_atom_site_label
_atom_site_fract_x
_atom_site_fract_y
_atom_site_fract_z
Dy1 0.000 0.000 0.000
Sc1 0.000 0.250 0.250
Se1 0.000 0.000 0.260
Se2 0.250 0.250 0.250

=====

8.
# Dy2ScSe PBE-GGA relaxed
# electronic total energy = -0.3833 Ry/atom
# N(E_F) = 5.74 states/eV/f.u.
# theoretical density = 6.43 g/cm³
# magnetization = 0.65 μB/f.u.
# polymorph energy (0 for the lowest one) = 298.0 meV/atom
data_Dy2ScSe
_chemical_formula_sum 'Dy6 Sc3 Se3'
_cell_length_a 3.6734
_cell_length_b 3.6734
_cell_length_c 29.7410
_cell_angle_alpha 90.00
_cell_angle_beta 90.00
_cell_angle_gamma 120.00
_symmetry_space_group_name_H-M 'R -3 m'
_symmetry_Int_Tables_number 166
_symmetry_space_group_name_Hall '-R 3 2"'
loop_
_atom_site_label
_atom_site_fract_x
_atom_site_fract_y
_atom_site_fract_z
Dy1 0.0000 0.0000 0.1050
Sc1 0.0000 0.0000 0.0000
Se1 0.0000 0.0000 0.5000

=====

9.
# DySc2Se PBE-GGA relaxed
# electronic total energy = -0.4401 Ry/atom
# N(E_F) = 5.49 states/eV/f.u.
# theoretical density = 5.96 g/cm³
# magnetization = 0.00 μB/f.u.
# polymorph energy (0 for the lowest one) = 0.0 meV/atom
data_DySc2Se
_chemical_formula_sum 'Dy4 Sc8 Se4'
_cell_length_a 3.742
_cell_length_b 11.206
_cell_length_c 8.810
_cell_angle_alpha 90.00
_cell_angle_beta 90.00
_cell_angle_gamma 90.00
_symmetry_space_group_name_H-M 'C m c m'
_symmetry_Int_Tables_number 63
_symmetry_space_group_name_Hall '-C 2c 2'
loop_
_atom_site_label
_atom_site_fract_x
_atom_site_fract_y
_atom_site_fract_z
Dy1 0.000 0.058 0.250
Sc1 0.000 0.359 0.044
Se1 0.000 0.235 0.750

=====

10.
# DySc2Se PBE-GGA relaxed
# electronic total energy = -0.4170 Ry/atom
# N(E_F) = 6.62 states/eV/f.u.
# theoretical density = 5.20 g/cm³
# magnetization = 0.11 μB/f.u.
# polymorph energy (0 for the lowest one) = 313.2 meV/atom
data_DySc2Se
_chemical_formula_sum 'Dy3 Sc6 Se3'
_cell_length_a 3.5486
_cell_length_b 3.5486
_cell_length_c 29.0836
_cell_angle_alpha 90.00
_cell_angle_beta 90.00
_cell_angle_gamma 120.00
_symmetry_space_group_name_H-M 'R -3 m'
_symmetry_Int_Tables_number 166
_symmetry_space_group_name_Hall '-R 3 2"'
loop_
_atom_site_label
_atom_site_fract_x
_atom_site_fract_y
_atom_site_fract_z
Dy1 0.0000 0.0000 0.0000
Sc1 0.0000 0.0000 0.1095
Se1 0.0000 0.0000 0.5000

=====

11.
# Dy5Sc3Se8 PBE-GGA relaxed
# electronic total energy = -0.4442 Ry/atom
# N(E_F) = 11.65 states/eV/f.u.
# theoretical density = 7.22 g/cm³
# magnetization = 0.00 μB/f.u.
data_Dy5Sc3Se8
_chemical_formula_sum 'Dy15 Sc9 Se24'
_cell_length_a 8.0112
_cell_length_b 8.0112
_cell_length_c 19.6155
_cell_angle_alpha 90.00
_cell_angle_beta 90.00
_cell_angle_gamma 120.00
_symmetry_space_group_name_H-M 'R -3 m'
_symmetry_Int_Tables_number 166
_symmetry_space_group_name_Hall '-R 3 2"'
loop_
_atom_site_label
_atom_site_fract_x
_atom_site_fract_y
_atom_site_fract_z
Dy1 0.0000 0.0000 0.0000
Dy2 0.0000 0.0000 0.5000
Dy3 0.0000 0.5000 0.0000
Sc1 0.0000 0.5000 0.5000
Se1 0.0000 0.0000 0.2449
Se2 0.0068 0.5034 0.7534

=====

12.
# Sm2DySc3Se6 PBE-GGA relaxed
# electronic total energy = -0.4542 Ry/atom
# N(E_F) = 6.19 states/eV/f.u.
# theoretical density = 6.51 g/cm³
# magnetization = 0.00 μB/f.u.
data_Sm2DySc3Se6
_chemical_formula_sum 'Sm4 Dy2 Sc6 Se12'
_cell_length_a 17.512
_cell_length_b 3.983
_cell_length_c 8.077
_cell_angle_alpha 90.00
_cell_angle_beta 103.96
_cell_angle_gamma 90.00
_symmetry_space_group_name_H-M 'C 1 2/m 1'
_symmetry_Int_Tables_number 12
loop_
_symmetry_equiv_pos_as_xyz
'x,y,z'
'-x,-y,-z'
'-x,y,-z'
'x,-y,z'
'x+1/2,y+1/2,z'
'-x+1/2,-y+1/2,-z'
'-x+1/2,y+1/2,-z'
'x+1/2,-y+1/2,z'
loop_
_atom_site_label
_atom_site_fract_x
_atom_site_fract_y
_atom_site_fract_z
Sm1 0.168 0.000 0.335
Dy1 0.000 0.500 0.000
Sc1 0.000 0.500 0.500
Sc2 0.169 0.000 0.833
Se1 0.006 0.000 0.743
Se2 0.160 0.500 0.597
Se3 0.169 0.500 0.068

=====

Number 1: formation energy from raw total energies -1.7492 eV per atom. Number 2: formation energy from raw total energies -0.7580 eV per atom. Number 3: formation energy from raw total energies -1.7453 eV per atom. Number 4: formation energy from raw total energies -1.6839 eV per atom. Number 5: formation energy from raw total energies -1.6150 eV per atom. Number 6: formation energy from raw total energies -1.6961 eV per atom. Number 7: formation energy from raw total energies -1.6870 eV per atom. Number 8: formation energy from raw total energies -0.4600 eV per atom. Number 9: formation energy from raw total energies -0.8000 eV per atom. Number 10: formation energy from raw total energies -0.4868 eV per atom. Number 11: formation energy from raw total energies -1.6767 eV per atom. Number 12: formation energy from raw total energies -1.6846 eV per atom.